Here is crystalline LiAg2MoO4 at its relaxed geometry from the Alexandria database. Energies are from PBE with a Hubbard U.

Properties
Electronic total energy ... -5.39 eV per atom
DOS at the Fermi energy ... 0.1383 states/eV/atom
M_tot ... 0.00 μB/f.u.
Calculated density ... 5.13 g cm⁻³

abc: 4.461 4.461 6.975
angles: 108.66 108.66 90.00
Fractional positions:
O 0.351 0.818 0.169
Mo 0.500 0.500 0.000
O 0.818 0.351 0.169
Ag 0.250 0.750 0.500
Ag 0.750 0.250 0.500
O 0.182 0.182 0.831
Li 0.000 0.000 0.000
O 0.649 0.649 0.831